No. 1
# GGA-PBE HoTlCuI5, optimized geometry
data_HoTlCuI5
_space_group_name_H-M_alt 'C 1 2/c 1'
_space_group_IT_number 15
_space_group_name_Hall '-C 2yc'
_cell_length_a 9.883
_cell_length_b 13.148
_cell_length_c 11.189
_cell_angle_alpha 90.00
_cell_angle_beta 113.50
_cell_angle_gamma 90.00
loop_
_atom_site_label
_atom_site_type_symbol
_atom_site_fract_x
_atom_site_fract_y
_atom_site_fract_z
Ho1 Ho 0.000 0.000 0.000
Tl1 Tl 0.000 0.367 0.250
Cu1 Cu 0.000 0.310 0.750
I1 I 0.000 0.089 0.250
I2 I 0.123 0.202 0.624
I3 I 0.188 0.426 0.938
# crystal system = monoclinic
# E_form (uncorrected) = -6.87 eV/f.u.
# N(E_F) = 0.00 states/eV/atom
# energy = -3.2076 eV per atom

***

No. 2
# GGA-PBE Y2CuOs, optimized geometry
data_Y2CuOs
_space_group_name_H-M_alt 'R 3 m'
_space_group_IT_number 160
_space_group_name_Hall 'R 3 -2"'
_cell_length_a 4.2104
_cell_length_b 4.2104
_cell_length_c 19.7174
_cell_angle_alpha 90.00
_cell_angle_beta 90.00
_cell_angle_gamma 120.00
loop_
_atom_site_label
_atom_site_type_symbol
_atom_site_fract_x
_atom_site_fract_y
_atom_site_fract_z
Y1 Y 0.0000 0.0000 0.0000
Y2 Y 0.0000 0.0000 0.1753
Cu1 Cu 0.0000 0.0000 0.4201
Os1 Os 0.0000 0.0000 0.7544
# crystal system = trigonal
# ΔH_f (0 K) = -35 meV/atom
# N(E_F) = 0.92 states/eV/atom
# energy = -7.0983 eV per atom

***

No. 3
# GGA-PBE Zr2InNi2, optimized geometry
data_Zr2InNi2
_space_group_name_H-M_alt 'I 4/m m m'
_space_group_IT_number 139
_space_group_name_Hall '-I 4 2'
_cell_length_a 3.335
_cell_length_b 3.335
_cell_length_c 16.881
_cell_angle_alpha 90.00
_cell_angle_beta 90.00
_cell_angle_gamma 90.00
loop_
_atom_site_label
_atom_site_type_symbol
_atom_site_fract_x
_atom_site_fract_y
_atom_site_fract_z
Zr1 Zr 0.000 0.000 0.127
In1 In 0.000 0.000 0.500
Ni1 Ni 0.000 0.500 0.250
# crystal system = tetragonal
# ΔH_f (0 K) = -192 meV/atom
# N(E_F) = 0.74 states/eV/atom
# energy = -6.4719 eV per atom

***

No. 4
# GGA-PBE Cs3AcBi2O8, optimized geometry
data_Cs3AcBi2O8
_space_group_name_H-M_alt 'P -3 m 1'
_space_group_IT_number 164
_space_group_name_Hall '-P 3 2"'
_cell_length_a 6.7078
_cell_length_b 6.7078
_cell_length_c 8.6211
_cell_angle_alpha 90.00
_cell_angle_beta 90.00
_cell_angle_gamma 120.00
loop_
_atom_site_label
_atom_site_type_symbol
_atom_site_fract_x
_atom_site_fract_y
_atom_site_fract_z
Cs1 Cs 0.0000 0.0000 0.0000
Cs2 Cs 0.3333 0.6667 0.6835
Ac1 Ac 0.0000 0.0000 0.5000
Bi1 Bi 0.3333 0.6667 0.2353
O1 O 0.1709 0.3418 0.3298
O2 O 0.3333 0.6667 0.0035
# crystal system = trigonal
# E_form (uncorrected) = -21.45 eV/f.u.
# energy = -5.3963 eV per atom

***

No. 5
# GGA-PBE CsAg2Te6As2, optimized geometry
data_CsAg2Te6As2
_space_group_name_H-M_alt 'P -1'
_space_group_IT_number 2
_space_group_name_Hall '-P 1'
_cell_length_a 6.472
_cell_length_b 7.362
_cell_length_c 9.370
_cell_angle_alpha 105.61
_cell_angle_beta 107.60
_cell_angle_gamma 93.31
loop_
_atom_site_label
_atom_site_type_symbol
_atom_site_fract_x
_atom_site_fract_y
_atom_site_fract_z
Cs1 Cs 0.000 0.000 0.000
Ag1 Ag 0.135 0.505 0.385
Te1 Te 0.141 0.483 0.898
Te2 Te 0.194 0.932 0.424
Te3 Te 0.419 0.523 0.674
As1 As 0.471 0.175 0.692
# crystal system = triclinic
# E_form (uncorrected) = -1.33 eV/f.u.
# N(E_F) = 0.26 states/eV/atom
# energy = -3.2761 eV per atom

***

No. 6
# GGA-PBE ZrGeRh2, optimized geometry
data_ZrGeRh2
_space_group_name_H-M_alt 'P m m n'
_space_group_IT_number 59
_cell_length_a 4.643
_cell_length_b 5.770
_cell_length_c 4.772
_cell_angle_alpha 90.00
_cell_angle_beta 90.00
_cell_angle_gamma 90.00
loop_
_space_group_symop_operation_xyz
'x,y,z'
'-x,-y,-z'
'-x+1/2,-y+1/2,z'
'x+1/2,y+1/2,-z'
'x+1/2,-y,-z'
'-x+1/2,y,z'
'-x,y+1/2,-z'
'x,-y+1/2,z'
loop_
_atom_site_label
_atom_site_type_symbol
_atom_site_fract_x
_atom_site_fract_y
_atom_site_fract_z
Zr1 Zr 0.250 0.250 0.172
Ge1 Ge 0.250 0.750 0.221
Rh1 Rh 0.250 0.002 0.683
# crystal system = orthorhombic
# ΔH_f (0 K) = -746 meV/atom
# N(E_F) = 0.27 states/eV/atom
# energy = -7.7127 eV per atom

***

No. 7
# GGA-PBE Li2Ca2BiO6, optimized geometry
data_Li2Ca2BiO6
_space_group_name_H-M_alt 'C 1 2/m 1'
_space_group_IT_number 12
_space_group_name_Hall '-C 2y'
_cell_length_a 5.873
_cell_length_b 10.590
_cell_length_c 5.278
_cell_angle_alpha 90.00
_cell_angle_beta 106.24
_cell_angle_gamma 90.00
loop_
_atom_site_label
_atom_site_type_symbol
_atom_site_fract_x
_atom_site_fract_y
_atom_site_fract_z
Li1 Li 0.000 0.128 0.000
Ca1 Ca 0.000 0.340 0.500
Bi1 Bi 0.000 0.000 0.500
O1 O 0.188 0.158 0.724
O2 O 0.234 0.000 0.261
# crystal system = monoclinic
# E_form (uncorrected) = -19.80 eV/f.u.
# N(E_F) = 0.40 states/eV/atom
# energy = -5.5695 eV per atom

***

No. 8
# GGA-PBE TaWC2, optimized geometry
data_TaWC2
_space_group_name_H-M_alt 'F m -3 m'
_space_group_IT_number 225
_space_group_name_Hall '-F 4 2 3'
_cell_length_a 5.526
_cell_length_b 5.526
_cell_length_c 5.526
_cell_angle_alpha 90.00
_cell_angle_beta 90.00
_cell_angle_gamma 90.00
loop_
_atom_site_label
_atom_site_type_symbol
_atom_site_fract_x
_atom_site_fract_y
_atom_site_fract_z
Ta1 Ta 0.000 0.000 0.000
W1 W 0.000 0.000 0.500
C1 C 0.250 0.250 0.250
# excess energy over the best structure of this formula in the dataset = 2.83 eV/f.u.
# crystal system = cubic
# ΔH_f (0 K) = 550 meV/atom
# N(E_F) = 0.50 states/eV/atom
# energy = -10.2633 eV per atom

***

Question: energy of number 8 (TaWC2)?
Answer: -10.2633 eV per atom